The following is a DFT calculation (GGA+U) of a geometry-optimized NbCrO4 structure.

abc: 6.6998 6.6998 6.1224
angles: 90.00 90.00 90.00
With the nearest neighbours (Å) after each atom.
Space group I4_1md (No. 109)
Inequivalent atoms, fractional coordinates:
Nb (0.0000, 0.0000, 0.0000)  6 O 1.94-2.07
Cr (0.0000, 0.0000, 0.4896)  6 O 2.00-2.07
O (0.0000, 0.3016, 0.4815)  1 Nb 1.94, 2 Cr 2.02-2.07
O (0.0000, 0.3052, 0.9877)  1 Cr 2.00, 2 Nb 2.05-2.07

## Properties
Volume (A^3/atom): 11.5
VASP energy (eV/f.u.): -51.19